[1]
Material: Pu3N2O
Method: DFT, PBE-GGA
State: optimized geometry

Values from the calculation:
Electronic total energy = -12.442 eV per atom
Calculated volume = 363.52 Å³ per cell

CIF file:
```
data_Pu3N2O
_space_group_name_H-M_alt 'P n m a'
_space_group_IT_number 62
_cell_length_a 6.994
_cell_length_b 4.953
_cell_length_c 10.494
_cell_angle_alpha 90.00
_cell_angle_beta 90.00
_cell_angle_gamma 90.00
loop_
_space_group_symop_operation_xyz
'x,y,z'
'-x,-y,-z'
'-x+1/2,-y,z+1/2'
'x+1/2,y,-z+1/2'
'x+1/2,-y+1/2,-z+1/2'
'-x+1/2,y+1/2,z+1/2'
'-x,y+1/2,-z'
'x,-y+1/2,z'
loop_
_atom_site_label
_atom_site_type_symbol
_atom_site_fract_x
_atom_site_fract_y
_atom_site_fract_z
Pu1 Pu 0.124 0.250 0.084
Pu2 Pu 0.125 0.250 0.750
Pu3 Pu 0.127 0.250 0.415
N1 N 0.126 0.750 0.083
N2 N 0.126 0.750 0.753
O1 O 0.126 0.750 0.413
```

***

[2]
Material: Pu4N3O
Method: DFT, PBE-GGA
State: optimized geometry

Values from the calculation:
Electronic total energy = -12.483 eV per atom
Calculated volume = 241.20 Å³ per cell

CIF file:
```
data_Pu4N3O
_space_group_name_H-M_alt 'C m m m'
_space_group_IT_number 65
_space_group_name_Hall '-C 2 2'
_cell_length_a 6.988
_cell_length_b 9.879
_cell_length_c 3.494
_cell_angle_alpha 90.00
_cell_angle_beta 90.00
_cell_angle_gamma 90.00
loop_
_atom_site_label
_atom_site_type_symbol
_atom_site_fract_x
_atom_site_fract_y
_atom_site_fract_z
Pu1 Pu 0.000 0.249 0.000
Pu2 Pu 0.247 0.000 0.500
N1 N 0.000 0.000 0.000
N2 N 0.250 0.250 0.500
O1 O 0.000 0.500 0.000
```

***

[3]
Material: Pu2N2O
Method: DFT, PBE-GGA
State: optimized geometry

Values from the calculation:
Electronic total energy = -11.766 eV per atom
Calculated volume = 163.01 Å³ per cell

CIF file:
```
data_Pu2N2O
_space_group_name_H-M_alt 'C 1 2/m 1'
_space_group_IT_number 12
_cell_length_a 11.902
_cell_length_b 3.497
_cell_length_c 4.180
_cell_angle_alpha 90.00
_cell_angle_beta 110.46
_cell_angle_gamma 90.00
loop_
_space_group_symop_operation_xyz
'x,y,z'
'-x,-y,-z'
'-x,y,-z'
'x,-y,z'
'x+1/2,y+1/2,z'
'-x+1/2,-y+1/2,-z'
'-x+1/2,y+1/2,-z'
'x+1/2,-y+1/2,z'
loop_
_atom_site_label
_atom_site_type_symbol
_atom_site_fract_x
_atom_site_fract_y
_atom_site_fract_z
Pu1 Pu 0.150 0.000 0.151
N1 N 0.222 0.000 0.723
O1 O 0.000 0.500 0.000
```

***

[4]
Material: Pu3NO3
Method: DFT, PBE-GGA
State: optimized geometry

Values from the calculation:
Electronic total energy = -11.763 eV per atom
Calculated volume = 475.78 Å³ per cell

CIF file:
```
data_Pu3NO3
_space_group_name_H-M_alt 'I m m a'
_space_group_IT_number 74
_space_group_name_Hall '-I 2b 2'
_cell_length_a 6.983
_cell_length_b 7.034
_cell_length_c 9.686
_cell_angle_alpha 90.00
_cell_angle_beta 90.00
_cell_angle_gamma 90.00
loop_
_atom_site_label
_atom_site_type_symbol
_atom_site_fract_x
_atom_site_fract_y
_atom_site_fract_z
Pu1 Pu 0.000 0.250 0.004
Pu2 Pu 0.250 0.006 0.750
N1 N 0.000 0.250 0.771
O1 O 0.000 0.250 0.243
O2 O 0.210 0.000 0.000
```

***

[5]
Material: Pu4N3O
Method: DFT, PBE-GGA
State: optimized geometry

Values from the calculation:
Electronic total energy = -12.478 eV per atom
Calculated volume = 121.08 Å³ per cell

CIF file:
```
data_Pu4N3O
_space_group_name_H-M_alt 'P m -3 m'
_space_group_IT_number 221
_space_group_name_Hall '-P 4 2 3'
_cell_length_a 4.947
_cell_length_b 4.947
_cell_length_c 4.947
_cell_angle_alpha 90.00
_cell_angle_beta 90.00
_cell_angle_gamma 90.00
loop_
_atom_site_label
_atom_site_type_symbol
_atom_site_fract_x
_atom_site_fract_y
_atom_site_fract_z
Pu1 Pu 0.000 0.000 0.000
Pu2 Pu 0.000 0.500 0.500
N1 N 0.000 0.000 0.500
O1 O 0.500 0.500 0.500
```

***

[6]
Material: PuNO
Method: DFT, PBE-GGA
State: optimized geometry

Values from the calculation:
Electronic total energy = -10.884 eV per atom
Calculated volume = 53.91 Å³ per cell

CIF file:
```
data_PuNO
_space_group_name_H-M_alt 'P 3 m 1'
_space_group_IT_number 156
_cell_length_a 3.4905
_cell_length_b 3.4905
_cell_length_c 5.1093
_cell_angle_alpha 90.00
_cell_angle_beta 90.00
_cell_angle_gamma 120.00
loop_
_space_group_symop_operation_xyz
'x,y,z'
'-y,x-y,z'
'-x+y,-x,z'
'-y,-x,z'
'-x+y,y,z'
'x,x-y,z'
loop_
_atom_site_label
_atom_site_type_symbol
_atom_site_fract_x
_atom_site_fract_y
_atom_site_fract_z
Pu1 Pu 0.0000 0.0000 0.0000
N1 N 0.6667 0.3333 0.1657
O1 O 0.3333 0.6667 0.8176
```

***

[7]
Material: PuNO
Method: DFT, PBE-GGA
State: optimized geometry

Values from the calculation:
Electronic total energy = -10.632 eV per atom
Calculated volume = 230.59 Å³ per cell

CIF file:
```
data_PuNO
_space_group_name_H-M_alt 'P 42/m m c'
_space_group_IT_number 131
_space_group_name_Hall '-P 4c 2'
_cell_length_a 7.083
_cell_length_b 7.083
_cell_length_c 4.596
_cell_angle_alpha 90.00
_cell_angle_beta 90.00
_cell_angle_gamma 90.00
loop_
_atom_site_label
_atom_site_type_symbol
_atom_site_fract_x
_atom_site_fract_y
_atom_site_fract_z
Pu1 Pu 0.000 0.268 0.000
N1 N 0.168 0.500 0.000
O1 O 0.000 0.195 0.500
```

***

[8]
Material: PuN2O2
Method: DFT, PBE-GGA
State: optimized geometry

Values from the calculation:
Electronic total energy = -9.918 eV per atom
Calculated volume = 90.91 Å³ per cell

CIF file:
```
data_PuN2O2
_space_group_name_H-M_alt 'P -1'
_space_group_IT_number 2
_cell_length_a 3.559
_cell_length_b 3.560
_cell_length_c 8.323
_cell_angle_alpha 84.86
_cell_angle_beta 85.45
_cell_angle_gamma 60.02
loop_
_space_group_symop_operation_xyz
'x,y,z'
'-x,-y,-z'
loop_
_atom_site_label
_atom_site_type_symbol
_atom_site_fract_x
_atom_site_fract_y
_atom_site_fract_z
Pu1 Pu 0.000 0.000 0.000
N1 N 0.020 0.027 0.563
O1 O 0.345 0.350 0.891
```

***

[9]
Material: Pu2NO2
Method: DFT, PBE-GGA
State: optimized geometry

Values from the calculation:
Electronic total energy = -11.766 eV per atom
Calculated volume = 71.11 Å³ per cell

CIF file:
```
data_Pu2NO2
_space_group_name_H-M_alt 'P -3 m 1'
_space_group_IT_number 164
_space_group_name_Hall '-P 3 2"'
_cell_length_a 3.6759
_cell_length_b 3.6759
_cell_length_c 6.0767
_cell_angle_alpha 90.00
_cell_angle_beta 90.00
_cell_angle_gamma 120.00
loop_
_atom_site_label
_atom_site_type_symbol
_atom_site_fract_x
_atom_site_fract_y
_atom_site_fract_z
Pu1 Pu 0.3333 0.6667 0.2630
N1 N 0.0000 0.0000 0.5000
O1 O 0.3333 0.6667 0.8601
```

***

[10]
Material: Pu3NO5
Method: DFT, PBE-GGA
State: optimized geometry

Values from the calculation:
Electronic total energy = -11.197 eV per atom
Calculated volume = 459.71 Å³ per cell

CIF file:
```
data_Pu3NO5
_space_group_name_H-M_alt 'C 1 2/c 1'
_space_group_IT_number 15
_cell_length_a 11.974
_cell_length_b 5.353
_cell_length_c 7.559
_cell_angle_alpha 90.00
_cell_angle_beta 108.39
_cell_angle_gamma 90.00
loop_
_space_group_symop_operation_xyz
'x,y,z'
'-x,-y,-z'
'-x,y,-z+1/2'
'x,-y,z+1/2'
'x+1/2,y+1/2,z'
'-x+1/2,-y+1/2,-z'
'-x+1/2,y+1/2,-z+1/2'
'x+1/2,-y+1/2,z+1/2'
loop_
_atom_site_label
_atom_site_type_symbol
_atom_site_fract_x
_atom_site_fract_y
_atom_site_fract_z
Pu1 Pu 0.000 0.000 0.000
Pu2 Pu 0.164 0.493 0.332
N1 N 0.000 0.242 0.250
O1 O 0.000 0.258 0.750
O2 O 0.167 0.246 0.082
O3 O 0.167 0.254 0.585
```

***

[11]
Material: PuNO
Method: DFT, PBE-GGA
State: optimized geometry

Values from the calculation:
Electronic total energy = -11.144 eV per atom
Calculated volume = 148.52 Å³ per cell

CIF file:
```
data_PuNO
_space_group_name_H-M_alt 'C 1 2/m 1'
_space_group_IT_number 12
_cell_length_a 5.285
_cell_length_b 5.286
_cell_length_c 5.316
_cell_angle_alpha 90.00
_cell_angle_beta 90.09
_cell_angle_gamma 90.00
loop_
_space_group_symop_operation_xyz
'x,y,z'
'-x,-y,-z'
'-x,y,-z'
'x,-y,z'
'x+1/2,y+1/2,z'
'-x+1/2,-y+1/2,-z'
'-x+1/2,y+1/2,-z'
'x+1/2,-y+1/2,z'
loop_
_atom_site_label
_atom_site_type_symbol
_atom_site_fract_x
_atom_site_fract_y
_atom_site_fract_z
Pu1 Pu 0.250 0.000 0.240
N1 N 0.000 0.250 0.000
O1 O 0.000 0.250 0.500
```

***

[12]
Material: Pu4N2O3
Method: DFT, PBE-GGA
State: optimized geometry

Values from the calculation:
Electronic total energy = -11.987 eV per atom
Calculated volume = 294.98 Å³ per cell

CIF file:
```
data_Pu4N2O3
_space_group_name_H-M_alt 'C 1 2/m 1'
_space_group_IT_number 12
_cell_length_a 11.685
_cell_length_b 3.514
_cell_length_c 8.858
_cell_angle_alpha 90.00
_cell_angle_beta 125.81
_cell_angle_gamma 90.00
loop_
_space_group_symop_operation_xyz
'x,y,z'
'-x,-y,-z'
'-x,y,-z'
'x,-y,z'
'x+1/2,y+1/2,z'
'-x+1/2,-y+1/2,-z'
'-x+1/2,y+1/2,-z'
'x+1/2,-y+1/2,z'
loop_
_atom_site_label
_atom_site_type_symbol
_atom_site_fract_x
_atom_site_fract_y
_atom_site_fract_z
Pu1 Pu 0.082 0.000 0.384
Pu2 Pu 0.249 0.500 0.829
N1 N 0.141 0.000 0.862
O1 O 0.000 0.500 0.500
O2 O 0.188 0.500 0.318
```